# 1
10
Lattice="5.958 -3.948 0.000 5.958 3.948 0.000 -5.501 0.000 6.477" Properties=species:S:1:pos:R:3 comment="AgHg3Br | Alexandria via LeMat-Bulk | GGA-PBE | optimized geometry" spacegroup=C2/m pbc="T T T"
Ag 2.979 1.974 0.000
Ag 2.979 -1.974 0.000
Hg 1.678 2.208 4.090
Hg 4.737 2.208 2.387
Hg -0.578 0.000 5.161
Hg 6.992 0.000 1.316
Hg 1.678 -2.208 4.090
Hg 4.737 -2.208 2.387
Br 1.719 0.000 1.175
Br 4.695 0.000 5.302

=====

# 2
3
Lattice="0.000 3.258 6.237 2.068 0.000 6.237 2.068 3.258 0.000" Properties=species:S:1:pos:R:3 comment="AgHgBr | Alexandria via LeMat-Bulk | GGA-PBE | optimized geometry" spacegroup=Fmm2 pbc="T T T"
Ag 0.000 0.000 0.000
Hg 2.068 3.258 8.255
Br 2.068 3.258 4.485

=====

# 3
9
Lattice="4.915 -6.664 0.000 4.915 6.664 0.000 -0.237 0.000 4.109" Properties=species:S:1:pos:R:3 comment="AgHg6Br2 | Alexandria via LeMat-Bulk | GGA-PBE | optimized geometry" spacegroup=C2/m pbc="T T T"
Ag 0.000 0.000 0.000
Hg 3.169 2.251 3.937
Hg 2.962 0.000 1.885
Hg 6.425 2.251 0.172
Hg 3.169 -2.251 3.937
Hg 6.631 0.000 2.224
Hg 6.425 -2.251 0.172
Br 4.797 4.784 2.054
Br 4.797 -4.784 2.054

=====

# 4
4
Lattice="2.028 -3.721 0.000 2.028 3.721 0.000 0.000 0.000 8.198" Properties=species:S:1:pos:R:3 comment="AgHgBr2 | Alexandria via LeMat-Bulk | GGA-PBE | optimized geometry" spacegroup=Cmmm pbc="T T T"
Ag 0.000 0.000 0.000
Hg 0.000 0.000 4.099
Br 2.028 0.000 1.802
Br 2.028 0.000 6.397

=====

# 5
4
Lattice="3.644 -2.105 0.000 3.644 2.105 0.000 -2.460 0.000 7.157" Properties=species:S:1:pos:R:3 comment="AgHgBr2 | Alexandria via LeMat-Bulk | GGA-PBE | optimized geometry" spacegroup=C2/m pbc="T T T"
Ag 0.000 0.000 0.000
Hg 2.415 0.000 3.578
Br -0.026 0.000 5.616
Br 4.856 0.000 1.540

=====

# 6
7
Lattice="6.755 0.000 0.000 0.000 6.755 0.000 0.000 0.000 5.629" Properties=species:S:1:pos:R:3 comment="AgHg2Br4 | Alexandria via LeMat-Bulk | GGA-PBE | optimized geometry" spacegroup=P-42m pbc="T T T"
Ag 0.000 0.000 0.000
Hg 0.000 3.377 2.814
Hg 3.377 0.000 2.814
Br 1.682 1.682 1.333
Br 1.682 5.073 4.295
Br 5.073 1.682 4.295
Br 5.073 5.073 1.333

=====

no.,raw formation energy (eV/atom),size of the total moment (μB/atom)
1,-0.122,0.000
2,-0.103,0.000
3,-0.131,0.000
4,-0.180,0.000
5,-0.212,0.000
6,-0.287,0.000